# Y4Ni2Rh (GGA-PBE, relaxed)
data_Y4Ni2Rh
_space_group_name_H-M_alt 'R -3 m'
_space_group_IT_number 166
_space_group_name_Hall '-R 3 2"'
_cell_length_a 4.7947
_cell_length_b 4.7947
_cell_length_c 23.6093
_cell_angle_alpha 90.00
_cell_angle_beta 90.00
_cell_angle_gamma 120.00
loop_
_atom_site_label
_atom_site_type_symbol
_atom_site_fract_x
_atom_site_fract_y
_atom_site_fract_z
_atom_site_occupancy
Y1 Y 0.0000 0.0000 0.1238 1
Y2 Y 0.0000 0.0000 0.3748 1
Ni1 Ni 0.0000 0.0000 0.2488 1
Rh1 Rh 0.0000 0.0000 0.5000 1
# E_tot = -143.34 eV/cell
# Energy of formation = -3.0 eV/f.u.